Compound: LiTaNi3
Source: the Alexandria database
Functional: PBE-GGA
Structure: optimized geometry

Summary:
- DFT total energy (eV/atom) = -5.751
- offset from the most stable computed form (meV/atom) = 0
- M_tot (Bohr magnetons per cell) = 1.9
- ΔH_f (0 K) (eV per atom) = 0.472

Geometry as CIF:
```
data_LiTaNi3
_chemical_formula_sum 'Li1 Ta1 Ni3'
_symmetry_space_group_name_H-M 'P m -3 m'
_symmetry_Int_Tables_number 221
_symmetry_space_group_name_Hall '-P 4 2 3'
_cell_length_a 3.9381
_cell_length_b 3.9381
_cell_length_c 3.9381
_cell_angle_alpha 90.00
_cell_angle_beta 90.00
_cell_angle_gamma 90.00
loop_
_atom_site_label
_atom_site_type_symbol
_atom_site_fract_x
_atom_site_fract_y
_atom_site_fract_z
Li1 Li 0.0000 0.0000 0.0000
Ta1 Ta 0.5000 0.5000 0.5000
Ni1 Ni 0.0000 0.0000 0.5000
```

Compound: MgAsSN2
Source: the Alexandria database
Functional: PBE-GGA
Structure: optimized geometry

Summary:
- DFT total energy (eV/atom) = -4.739
- offset from the most stable computed form (meV/atom) = 0
- M_tot (Bohr magnetons per cell) = 0.7
- formation energy without anion corrections (eV per formula unit) = 3.3

Geometry as CIF:
```
data_MgAsSN2
_chemical_formula_sum 'Mg1 As1 S1 N2'
_symmetry_space_group_name_H-M 'P 4/m m m'
_symmetry_Int_Tables_number 123
_symmetry_space_group_name_Hall '-P 4 2'
_cell_length_a 3.6727
_cell_length_b 3.6727
_cell_length_c 5.5292
_cell_angle_alpha 90.00
_cell_angle_beta 90.00
_cell_angle_gamma 90.00
loop_
_atom_site_label
_atom_site_type_symbol
_atom_site_fract_x
_atom_site_fract_y
_atom_site_fract_z
Mg1 Mg 0.0000 0.0000 0.0000
As1 As 0.5000 0.5000 0.5000
S1 S 0.5000 0.5000 0.0000
N1 N 0.0000 0.5000 0.5000
```

Compound: Nd2TmCd2
Source: the Alexandria database
Functional: PBE-GGA
Structure: optimized geometry

Summary:
- DFT total energy (eV/atom) = -3.350
- offset from the most stable computed form (meV/atom) = 56
- M_tot (Bohr magnetons per cell) = 0.0
- ΔH_f (0 K) (eV per atom) = -0.182

Geometry as CIF:
```
data_Nd2TmCd2
_chemical_formula_sum 'Nd4 Tm2 Cd4'
_symmetry_space_group_name_H-M 'I m m m'
_symmetry_Int_Tables_number 71
_symmetry_space_group_name_Hall '-I 2 2'
_cell_length_a 5.0118
_cell_length_b 7.0067
_cell_length_c 8.3957
_cell_angle_alpha 90.00
_cell_angle_beta 90.00
_cell_angle_gamma 90.00
loop_
_atom_site_label
_atom_site_type_symbol
_atom_site_fract_x
_atom_site_fract_y
_atom_site_fract_z
Nd1 Nd 0.0000 0.0000 0.1960
Tm1 Tm 0.0000 0.5000 0.0000
Cd1 Cd 0.0000 0.2866 0.5000
```

Compound: Ho7CdRh4
Source: the Alexandria database
Functional: PBE-GGA
Structure: optimized geometry

Summary:
- DFT total energy (eV/atom) = -5.668
- M_tot (Bohr magnetons per cell) = 0.0
- ΔH_f (0 K) (eV per atom) = -0.471

Geometry as CIF:
```
data_Ho7CdRh4
_chemical_formula_sum 'Ho14 Cd2 Rh8'
_symmetry_space_group_name_H-M 'C 1 2/m 1'
_symmetry_Int_Tables_number 12
_cell_length_a 13.4724
_cell_length_b 5.4525
_cell_length_c 9.5784
_cell_angle_alpha 90.00
_cell_angle_beta 125.06
_cell_angle_gamma 90.00
loop_
_symmetry_equiv_pos_as_xyz
'x,y,z'
'-x,-y,-z'
'-x,y,-z'
'x,-y,z'
'x+1/2,y+1/2,z'
'-x+1/2,-y+1/2,-z'
'-x+1/2,y+1/2,-z'
'x+1/2,-y+1/2,z'
loop_
_atom_site_label
_atom_site_type_symbol
_atom_site_fract_x
_atom_site_fract_y
_atom_site_fract_z
Ho1 Ho 0.0000 0.0000 0.0000
Ho2 Ho 0.0754 0.5000 0.3723
Ho3 Ho 0.1782 0.0000 0.6275
Ho4 Ho 0.2117 0.5000 0.8786
Cd1 Cd 0.0000 0.5000 0.0000
Rh1 Rh 0.0664 0.0000 0.7783
Rh2 Rh 0.2027 0.0000 0.3432
```

Compound: Pr6Ge2N
Source: the Alexandria database
Functional: PBE-GGA
Structure: optimized geometry

Summary:
- DFT total energy (eV/atom) = -5.814
- offset from the most stable computed form (meV/atom) = 0
- M_tot (Bohr magnetons per cell) = 0.0
- formation energy without anion corrections (eV per formula unit) = -6.1

Geometry as CIF:
```
data_Pr6Ge2N
_chemical_formula_sum 'Pr12 Ge4 N2'
_symmetry_space_group_name_H-M 'P 1 21/c 1'
_symmetry_Int_Tables_number 14
_cell_length_a 6.5357
_cell_length_b 8.0662
_cell_length_c 11.4297
_cell_angle_alpha 90.00
_cell_angle_beta 122.61
_cell_angle_gamma 90.00
loop_
_symmetry_equiv_pos_as_xyz
'x,y,z'
'-x,-y,-z'
'-x,y+1/2,-z+1/2'
'x,-y+1/2,z+1/2'
loop_
_atom_site_label
_atom_site_type_symbol
_atom_site_fract_x
_atom_site_fract_y
_atom_site_fract_z
Pr1 Pr 0.1182 0.1595 0.4475
Pr2 Pr 0.3074 0.7118 0.4447
Pr3 Pr 0.3677 0.0348 0.2476
Ge1 Ge 0.1925 0.1117 0.7575
N1 N 0.5000 0.0000 0.5000
```

Compound: VI4
Source: the Alexandria database
Functional: PBE-GGA
Structure: optimized geometry

Summary:
- DFT total energy (eV/atom) = -3.444
- M_tot (Bohr magnetons per cell) = 2.0
- formation energy without anion corrections (eV per formula unit) = -1.9

Geometry as CIF:
```
data_VI4
_chemical_formula_sum 'V2 I8'
_symmetry_space_group_name_H-M 'I -4 2 m'
_symmetry_Int_Tables_number 121
_symmetry_space_group_name_Hall 'I -4 2'
_cell_length_a 6.5432
_cell_length_b 6.5432
_cell_length_c 12.2973
_cell_angle_alpha 90.00
_cell_angle_beta 90.00
_cell_angle_gamma 90.00
loop_
_atom_site_label
_atom_site_type_symbol
_atom_site_fract_x
_atom_site_fract_y
_atom_site_fract_z
V1 V 0.0000 0.0000 0.0000
I1 I 0.2225 0.2225 0.8833
```

Compound: NiRh2Cl
Source: the Alexandria database
Functional: PBE-GGA
Structure: optimized geometry

Summary:
- DFT total energy (eV/atom) = -4.924
- offset from the most stable computed form (meV/atom) = 436
- M_tot (Bohr magnetons per cell) = 0.0
- formation energy without anion corrections (eV per formula unit) = 2.6

Geometry as CIF:
```
data_NiRh2Cl
_chemical_formula_sum 'Ni4 Rh8 Cl4'
_symmetry_space_group_name_H-M 'I -4 2 d'
_symmetry_Int_Tables_number 122
_symmetry_space_group_name_Hall 'I -4 2bw'
_cell_length_a 3.7355
_cell_length_b 3.7355
_cell_length_c 17.4050
_cell_angle_alpha 90.00
_cell_angle_beta 90.00
_cell_angle_gamma 90.00
loop_
_atom_site_label
_atom_site_type_symbol
_atom_site_fract_x
_atom_site_fract_y
_atom_site_fract_z
Ni1 Ni 0.0000 0.0000 0.0000
Rh1 Rh 0.2401 0.2500 0.1250
Cl1 Cl 0.0000 0.0000 0.5000
```

Compound: ErTmScPt
Source: the Alexandria database
Functional: PBE-GGA
Structure: optimized geometry

Summary:
- DFT total energy (eV/atom) = -5.766
- M_tot (Bohr magnetons per cell) = 4.6
- ΔH_f (0 K) (eV per atom) = -0.414

Geometry as CIF:
```
data_ErTmScPt
_chemical_formula_sum 'Er4 Tm4 Sc4 Pt4'
_symmetry_space_group_name_H-M 'F -4 3 m'
_symmetry_Int_Tables_number 216
_symmetry_space_group_name_Hall 'F -4 2 3'
_cell_length_a 7.1302
_cell_length_b 7.1302
_cell_length_c 7.1302
_cell_angle_alpha 90.00
_cell_angle_beta 90.00
_cell_angle_gamma 90.00
loop_
_atom_site_label
_atom_site_type_symbol
_atom_site_fract_x
_atom_site_fract_y
_atom_site_fract_z
Er1 Er 0.0000 0.0000 0.0000
Tm1 Tm 0.0000 0.0000 0.5000
Sc1 Sc 0.2500 0.2500 0.7500
Pt1 Pt 0.2500 0.2500 0.2500
```

Compound: YHoZnHg
Source: the Alexandria database
Functional: PBE-GGA
Structure: optimized geometry

Summary:
- DFT total energy (eV/atom) = -3.564
- offset from the most stable computed form (meV/atom) = 17
- M_tot (Bohr magnetons per cell) = 0.0
- ΔH_f (0 K) (eV per atom) = -0.410

Geometry as CIF:
```
data_YHoZnHg
_chemical_formula_sum 'Y4 Ho4 Zn4 Hg4'
_symmetry_space_group_name_H-M 'F -4 3 m'
_symmetry_Int_Tables_number 216
_symmetry_space_group_name_Hall 'F -4 2 3'
_cell_length_a 7.3036
_cell_length_b 7.3036
_cell_length_c 7.3036
_cell_angle_alpha 90.00
_cell_angle_beta 90.00
_cell_angle_gamma 90.00
loop_
_atom_site_label
_atom_site_type_symbol
_atom_site_fract_x
_atom_site_fract_y
_atom_site_fract_z
Y1 Y 0.0000 0.0000 0.0000
Ho1 Ho 0.0000 0.0000 0.5000
Zn1 Zn 0.2500 0.2500 0.2500
Hg1 Hg 0.2500 0.2500 0.7500
```

Compound: Ca4ErTa3N8
Source: the Alexandria database
Functional: PBE-GGA
Structure: optimized geometry

Summary:
- DFT total energy (eV/atom) = -8.473
- M_tot (Bohr magnetons per cell) = 0.0
- formation energy without anion corrections (eV per formula unit) = -20.8

Geometry as CIF:
```
data_Ca4ErTa3N8
_chemical_formula_sum 'Ca12 Er3 Ta9 N24'
_symmetry_space_group_name_H-M 'R -3 m'
_symmetry_Int_Tables_number 166
_symmetry_space_group_name_Hall '-R 3 2"'
_cell_length_a 6.5040
_cell_length_b 6.5040
_cell_length_c 16.7247
_cell_angle_alpha 90.00
_cell_angle_beta 90.00
_cell_angle_gamma 120.00
loop_
_atom_site_label
_atom_site_type_symbol
_atom_site_fract_x
_atom_site_fract_y
_atom_site_fract_z
Ca1 Ca 0.0000 0.0000 0.0000
Ca2 Ca 0.0000 0.5000 0.0000
Er1 Er 0.0000 0.0000 0.5000
Ta1 Ta 0.0000 0.5000 0.5000
N1 N 0.0000 0.0000 0.2377
N2 N 0.0191 0.5095 0.7627
```

Compound: MnAs2Ru2
Source: the Alexandria database
Functional: PBE-GGA
Structure: optimized geometry

Summary:
- DFT total energy (eV/atom) = -6.832
- offset from the most stable computed form (meV/atom) = 331
- M_tot (Bohr magnetons per cell) = 0.9
- ΔH_f (0 K) (eV per atom) = 0.572

Geometry as CIF:
```
data_MnAs2Ru2
_chemical_formula_sum 'Mn2 As4 Ru4'
_symmetry_space_group_name_H-M 'I 4/m m m'
_symmetry_Int_Tables_number 139
_symmetry_space_group_name_Hall '-I 4 2'
_cell_length_a 3.7374
_cell_length_b 3.7374
_cell_length_c 11.5017
_cell_angle_alpha 90.00
_cell_angle_beta 90.00
_cell_angle_gamma 90.00
loop_
_atom_site_label
_atom_site_type_symbol
_atom_site_fract_x
_atom_site_fract_y
_atom_site_fract_z
Mn1 Mn 0.0000 0.0000 0.0000
As1 As 0.0000 0.5000 0.2500
Ru1 Ru 0.0000 0.0000 0.3924
```

Compound: HgRuN3
Source: the Alexandria database
Functional: PBE-GGA
Structure: optimized geometry

Summary:
- DFT total energy (eV/atom) = -3.810
- M_tot (Bohr magnetons per cell) = 1.8
- formation energy without anion corrections (eV per formula unit) = 15.5

Geometry as CIF:
```
data_HgRuN3
_chemical_formula_sum 'Hg1 Ru1 N3'
_symmetry_space_group_name_H-M 'P m -3 m'
_symmetry_Int_Tables_number 221
_symmetry_space_group_name_Hall '-P 4 2 3'
_cell_length_a 4.1072
_cell_length_b 4.1072
_cell_length_c 4.1072
_cell_angle_alpha 90.00
_cell_angle_beta 90.00
_cell_angle_gamma 90.00
loop_
_atom_site_label
_atom_site_type_symbol
_atom_site_fract_x
_atom_site_fract_y
_atom_site_fract_z
Hg1 Hg 0.0000 0.0000 0.0000
Ru1 Ru 0.5000 0.5000 0.5000
N1 N 0.0000 0.0000 0.5000
```

Question: The highest DFT total energy belongs to which entry?
Answer: Nd2TmCd2

Question: What is the M_tot in the twelfth record?
Answer: 1.8 Bohr magnetons per cell

Question: Which value of M_tot does entry 6 give?
Answer: 2.0 Bohr magnetons per cell